# 1
Crystalline Cs2LiUCl6 at its relaxed geometry. Source: Alexandria via LeMat-Bulk, functional GGA-PBE.

Calculated values
E_form (uncorrected): -18.562 eV per formula unit
space-group type: R-3m (166)

Cell and atoms, written as POSCAR:
```
Cs2LiUCl6
1.0
7.655 0.000 0.000
3.827 6.629 0.000
3.827 2.210 12.811
Cs Li U Cl
4 2 2 12
direct
0.870 0.870 0.389 Cs
0.130 0.130 0.611 Cs
0.710 0.710 0.871 Cs
0.290 0.290 0.129 Cs
0.000 0.000 0.000 Li
0.500 0.500 0.500 Li
0.588 0.588 0.237 U
0.412 0.412 0.763 U
0.859 0.383 0.376 Cl
0.383 0.859 0.376 Cl
0.383 0.383 0.376 Cl
0.141 0.617 0.624 Cl
0.617 0.141 0.624 Cl
0.617 0.617 0.624 Cl
0.717 0.201 0.881 Cl
0.201 0.717 0.881 Cl
0.201 0.201 0.881 Cl
0.283 0.799 0.119 Cl
0.799 0.283 0.119 Cl
0.799 0.799 0.119 Cl
```



# 2
Crystalline Si2RhSe at its relaxed geometry. Source: Alexandria via LeMat-Bulk, functional GGA-PBE.

Calculated values
E_form (uncorrected): 0.988 eV per formula unit
space-group type: P2/m (10)

Cell and atoms, written as POSCAR:
```
Si2RhSe
1.0
-1.002 -1.395 -2.791
1.223 -3.864 1.493
-3.165 -3.343 2.807
Rh Se Si
1 1 2
direct
0.500 0.500 0.500 Rh
0.000 0.000 0.500 Se
0.000 0.000 0.000 Si
0.500 0.500 0.000 Si
```



# 3
Crystalline MgAsH at its relaxed geometry. Source: Alexandria via LeMat-Bulk, functional GGA-PBE.

Calculated values
space-group type: I4mm (107)
polymorph energy (0 for the lowest one): 46.1 kJ per mole of atoms

Cell and atoms, written as POSCAR:
```
MgAsH
1.0
-1.942 0.748 2.752
1.894 -2.152 1.921
2.468 3.671 -1.420
H As Mg
1 1 1
direct
0.345 0.345 0.691 H
0.917 0.917 0.834 As
0.588 0.588 0.176 Mg
```



# 4
Crystalline Rb3Pu3NpTe8 at its relaxed geometry. Source: Alexandria via LeMat-Bulk, functional GGA-PBE.

Calculated values
E_form (uncorrected): -15.150 eV per formula unit
space-group type: R-3m (166)

Cell and atoms, written as POSCAR:
```
Rb3Pu3NpTe8
1.0
9.055 0.000 0.000
-4.527 7.842 -0.033
0.000 -5.197 8.664
Rb Pu Np Te
3 3 1 8
direct
0.000 0.000 0.000 Rb
0.000 0.500 0.000 Rb
0.500 0.500 0.000 Rb
0.500 0.000 0.500 Pu
0.500 0.500 0.500 Pu
0.000 0.500 0.500 Pu
0.000 0.000 0.500 Np
0.267 0.534 0.301 Te
0.733 0.466 0.699 Te
0.770 0.539 0.305 Te
0.230 0.461 0.695 Te
0.770 0.035 0.305 Te
0.230 0.965 0.695 Te
0.266 0.035 0.305 Te
0.734 0.965 0.695 Te
```



# 5
Crystalline BeAs2Rh at its relaxed geometry. Source: Alexandria via LeMat-Bulk, functional GGA-PBE.

Calculated values
space-group type: P4mm (99)
energy of formation: -0.60 eV/f.u.

Cell and atoms, written as POSCAR:
```
BeAs2Rh
1.0
-0.339 2.437 -1.640
-2.936 -0.220 0.281
0.274 4.163 6.129
Be As Rh
1 2 1
direct
0.000 0.000 0.542 Be
0.000 0.000 0.916 As
0.500 0.500 0.342 As
0.500 0.500 0.700 Rh
```



# 6
Crystalline Pm6SiSe5 at its relaxed geometry. Source: Alexandria via LeMat-Bulk, functional GGA-PBE.

Calculated values
E_form (uncorrected): -20.555 eV per formula unit
space-group type: C2/m (12)

Cell and atoms, written as POSCAR:
```
Pm6SiSe5
1.0
-1.281 1.127 -7.117
-6.922 -1.718 -1.509
-5.207 5.074 0.499
Si Se Pm
1 5 6
direct
0.000 0.000 0.000 Si
0.500 0.169 0.663 Se
0.000 0.333 0.333 Se
0.500 0.500 0.000 Se
0.000 0.667 0.667 Se
0.500 0.831 0.337 Se
0.758 0.080 0.321 Pm
0.242 0.598 0.321 Pm
0.241 0.241 0.000 Pm
0.759 0.759 0.000 Pm
0.758 0.402 0.679 Pm
0.242 0.920 0.679 Pm
```



# 7
Crystalline BaMnCo2 at its relaxed geometry. Source: Alexandria via LeMat-Bulk, functional GGA-PBE.

Calculated values
space-group type: Pm (6)
polymorph energy (0 for the lowest one): 20.0 kJ per mole of atoms
energy of formation: 2.06 eV/f.u.

Cell and atoms, written as POSCAR:
```
BaMnCo2
1.0
3.816 0.000 0.000
0.000 3.933 0.034
0.000 1.904 5.918
Ba Co Mn
1 2 1
direct
0.500 0.787 0.798 Ba
0.000 0.142 0.091 Co
0.500 0.051 0.275 Co
0.000 0.520 0.336 Mn
```



# 8
Crystalline Ba2TbSb2 at its relaxed geometry. Source: Alexandria via LeMat-Bulk, functional GGA-PBE.

Calculated values
E_form (uncorrected): -4.606 eV per formula unit
space-group type: Ibam (72)

Cell and atoms, written as POSCAR:
```
Ba2TbSb2
1.0
-5.378 4.657 -0.543
-4.251 -5.453 -4.676
1.897 -2.296 8.403
Ba Tb Sb
4 2 4
direct
0.854 0.699 0.707 Ba
0.146 0.301 0.293 Ba
0.646 0.991 0.293 Ba
0.354 0.009 0.707 Ba
0.750 0.500 0.000 Tb
0.250 0.500 0.000 Tb
0.391 0.627 0.781 Sb
0.609 0.373 0.219 Sb
0.109 0.846 0.219 Sb
0.891 0.154 0.781 Sb
```



# 9
Crystalline BeZnOs2 at its relaxed geometry. Source: Alexandria via LeMat-Bulk, functional GGA-PBE.

Calculated values
space-group type: P4/mmm (123)
energy of formation: 1.34 eV/f.u.

Cell and atoms, written as POSCAR:
```
BeZnOs2
1.0
-1.406 0.735 -2.484
0.605 -3.817 -1.472
-3.584 -1.212 1.671
Be Zn Os
1 1 2
direct
0.500 0.000 0.500 Be
0.500 0.500 0.000 Zn
0.000 0.000 0.000 Os
0.000 0.500 0.500 Os
```



# 10
Crystalline LaTl2Si2 at its relaxed geometry. Source: Alexandria via LeMat-Bulk, functional GGA-PBE.

Calculated values
E_form (uncorrected): 0.724 eV per formula unit
space-group type: I4/mmm (139)
polymorph energy (0 for the lowest one): 19.5 kJ per mole of atoms

Cell and atoms, written as POSCAR:
```
LaTl2Si2
1.0
-4.561 0.495 -2.268
2.233 -0.428 -4.585
-1.773 -4.853 -3.267
Tl Si La
2 2 1
direct
0.355 0.355 0.290 Tl
0.645 0.645 0.710 Tl
0.750 0.250 0.500 Si
0.250 0.750 0.500 Si
0.000 0.000 0.000 La
```



# 11
Crystalline Ba3Zn2Pd3 at its relaxed geometry. Source: Alexandria via LeMat-Bulk, functional GGA-PBE.

Calculated values
space-group type: Pnma (62)
polymorph energy (0 for the lowest one): 0.0 kJ per mole of atoms
energy of formation: -4.00 eV/f.u.

Cell and atoms, written as POSCAR:
```
Ba3Zn2Pd3
1.0
6.484 0.000 0.000
0.000 8.567 0.000
0.000 0.000 15.844
Ba Zn Pd
12 8 12
direct
0.144 0.465 0.396 Ba
0.644 0.035 0.604 Ba
0.856 0.535 0.896 Ba
0.356 0.965 0.104 Ba
0.856 0.535 0.604 Ba
0.356 0.965 0.396 Ba
0.144 0.465 0.104 Ba
0.644 0.035 0.896 Ba
0.610 0.325 0.250 Ba
0.110 0.175 0.750 Ba
0.390 0.675 0.750 Ba
0.890 0.825 0.250 Ba
0.872 0.125 0.406 Zn
0.372 0.375 0.594 Zn
0.128 0.875 0.906 Zn
0.628 0.625 0.094 Zn
0.128 0.875 0.594 Zn
0.628 0.625 0.406 Zn
0.872 0.125 0.094 Zn
0.372 0.375 0.906 Zn
0.062 0.173 0.250 Pd
0.562 0.327 0.750 Pd
0.938 0.827 0.750 Pd
0.438 0.673 0.250 Pd
0.611 0.336 0.459 Pd
0.111 0.164 0.541 Pd
0.389 0.664 0.959 Pd
0.889 0.836 0.041 Pd
0.389 0.664 0.541 Pd
0.889 0.836 0.459 Pd
0.611 0.336 0.041 Pd
0.111 0.164 0.959 Pd
```



# 12
Crystalline CdPd2Pb at its relaxed geometry. Source: Alexandria via LeMat-Bulk, functional GGA-PBE.

Calculated values
space-group type: P2/c (13)
energy of formation: -0.85 eV/f.u.

Cell and atoms, written as POSCAR:
```
CdPd2Pb
1.0
-3.067 -4.569 1.757
3.145 -0.496 4.198
-6.551 6.309 4.970
Cd Pd Pb
4 8 4
direct
0.352 0.448 0.622 Cd
0.648 0.552 0.378 Cd
0.352 0.052 0.878 Cd
0.648 0.948 0.122 Cd
0.873 0.055 0.884 Pd
0.127 0.945 0.116 Pd
0.873 0.445 0.616 Pd
0.127 0.555 0.384 Pd
0.834 0.441 0.132 Pd
0.166 0.559 0.868 Pd
0.834 0.059 0.368 Pd
0.166 0.941 0.632 Pd
0.314 0.045 0.372 Pb
0.686 0.955 0.628 Pb
0.314 0.455 0.128 Pb
0.686 0.545 0.872 Pb
```



# 13
Crystalline SrTaSi at its relaxed geometry. Source: Alexandria via LeMat-Bulk, functional GGA-PBE.

Calculated values
E_form (uncorrected): 2.012 eV per formula unit
space-group type: F-43m (216)

Cell and atoms, written as POSCAR:
```
SrTaSi
1.0
-1.224 4.550 -0.625
-4.573 1.281 0.208
-1.586 2.561 3.677
Si Sr Ta
1 1 1
direct
0.750 0.750 0.750 Si
0.000 0.000 0.000 Sr
0.500 0.500 0.500 Ta
```



# 14
Crystalline Ho3ZrAl8 at its relaxed geometry. Source: Alexandria via LeMat-Bulk, functional GGA-PBE.

Calculated values
space-group type: R3m (160)
polymorph energy (0 for the lowest one): 0.0 kJ per mole of atoms
energy of formation: -6.13 eV/f.u.

Cell and atoms, written as POSCAR:
```
Ho3ZrAl8
1.0
5.482 0.000 0.000
2.741 4.748 0.000
2.741 1.583 8.970
Ho Zr Al
3 1 8
direct
0.375 0.375 0.875 Ho
0.999 0.999 0.002 Ho
0.500 0.500 0.499 Ho
0.875 0.875 0.375 Zr
0.935 0.436 0.192 Al
0.440 0.938 0.683 Al
0.436 0.436 0.192 Al
0.938 0.938 0.683 Al
0.188 0.188 0.437 Al
0.687 0.687 0.938 Al
0.436 0.935 0.192 Al
0.938 0.440 0.683 Al
```



# 15
Crystalline CaPm2PrIn4 at its relaxed geometry. Source: Alexandria via LeMat-Bulk, functional GGA-PBE.

Calculated values
space-group type: R-3m (166)
energy of formation: -3.88 eV/f.u.

Cell and atoms, written as POSCAR:
```
CaPm2PrIn4
1.0
-0.857 -4.980 -2.039
3.440 -4.057 1.181
-4.080 -5.107 6.908
Ca Pm Pr In
1 2 1 4
direct
0.500 0.500 0.500 Ca
0.753 0.753 0.741 Pm
0.247 0.247 0.259 Pm
0.000 0.000 0.000 Pr
0.375 0.375 0.876 In
0.875 0.875 0.374 In
0.125 0.125 0.626 In
0.625 0.625 0.124 In
```



# 16
Crystalline Na3NdTm2S6 at its relaxed geometry. Source: Alexandria via LeMat-Bulk, functional GGA-PBE.

Calculated values
E_form (uncorrected): -21.952 eV per formula unit
space-group type: C2/m (12)

Cell and atoms, written as POSCAR:
```
Na3NdTm2S6
1.0
-5.136 -0.312 4.638
-1.009 -2.323 -6.448
4.109 -5.203 2.473
Na Nd Tm S
3 1 2 6
direct
0.166 0.834 0.500 Na
0.834 0.166 0.500 Na
0.500 0.500 0.500 Na
0.000 0.000 0.000 Nd
0.333 0.667 0.000 Tm
0.667 0.333 0.000 Tm
0.924 0.579 0.774 S
0.731 0.731 0.228 S
0.076 0.421 0.226 S
0.579 0.924 0.774 S
0.269 0.269 0.772 S
0.421 0.076 0.226 S
```



# 17
Crystalline Ac2SeO7 at its relaxed geometry. Source: Alexandria via LeMat-Bulk, functional GGA-PBE.

Calculated values
E_form (uncorrected): -19.427 eV per formula unit
space-group type: P-1 (2)

Cell and atoms, written as POSCAR:
```
Ac2SeO7
1.0
6.568 -0.640 3.061
1.704 6.826 3.184
0.149 0.331 7.628
Ac Se O
4 2 14
direct
0.753 0.945 0.739 Ac
0.687 0.361 0.158 Ac
0.313 0.639 0.842 Ac
0.247 0.055 0.261 Ac
0.233 0.193 0.747 Se
0.767 0.807 0.253 Se
0.643 0.644 0.840 O
0.879 0.082 0.359 O
0.306 0.964 0.921 O
0.476 0.256 0.578 O
0.790 0.338 0.672 O
0.894 0.385 0.480 O
0.155 0.329 0.905 O
0.845 0.671 0.095 O
0.106 0.615 0.520 O
0.210 0.662 0.328 O
0.524 0.744 0.422 O
0.694 0.036 0.079 O
0.121 0.918 0.641 O
0.357 0.356 0.160 O
```



# 18
Crystalline CaY at its relaxed geometry. Source: Alexandria via LeMat-Bulk, functional GGA-PBE.

Calculated values
space-group type: Cm (8)
polymorph energy (0 for the lowest one): 0.8 kJ per mole of atoms
energy of formation: 0.11 eV/f.u.

Cell and atoms, written as POSCAR:
```
CaY
1.0
12.511 0.000 -0.006
0.000 3.694 0.000
-1.077 0.000 6.310
Y Ca
4 4
direct
0.251 0.000 0.598 Y
0.251 0.500 0.098 Y
0.475 0.000 0.005 Y
0.475 0.500 0.505 Y
0.726 0.000 0.753 Ca
0.726 0.500 0.253 Ca
0.996 0.000 0.180 Ca
0.996 0.500 0.680 Ca
```



# 19
Crystalline La6Os2Pb at its relaxed geometry. Source: Alexandria via LeMat-Bulk, functional GGA-PBE.

Calculated values
space-group type: Immm (71)
energy of formation: -2.51 eV/f.u.

Cell and atoms, written as POSCAR:
```
La6Os2Pb
1.0
8.391 -0.202 -3.112
-4.532 7.355 -2.344
-0.140 0.202 8.948
La Os Pb
12 4 2
direct
0.524 0.700 0.824 La
0.476 0.300 0.176 La
0.124 0.300 0.824 La
0.876 0.700 0.176 La
0.789 0.771 0.559 La
0.211 0.229 0.441 La
0.211 0.771 0.982 La
0.789 0.229 0.018 La
0.687 0.351 0.664 La
0.313 0.649 0.336 La
0.313 0.976 0.664 La
0.687 0.024 0.336 La
0.500 0.362 0.862 Os
0.500 0.638 0.138 Os
0.678 0.000 0.678 Os
0.322 0.000 0.322 Os
0.000 0.500 0.500 Pb
0.000 0.000 0.000 Pb
```



# 20
Crystalline CoPPt2 at its relaxed geometry. Source: Alexandria via LeMat-Bulk, functional GGA-PBE.

Calculated values
space-group type: C2/m (12)
energy of formation: 0.00 eV/f.u.

Cell and atoms, written as POSCAR:
```
CoPPt2
1.0
-2.277 -3.859 1.297
-1.673 -4.041 -1.619
3.770 -2.075 0.910
Co P Pt
1 1 2
direct
0.750 0.750 0.750 Co
0.250 0.250 0.250 P
0.026 0.026 0.995 Pt
0.474 0.474 0.505 Pt
```



| no. | DFT total energy (eV/cell) |
| --- | --- |
| 1 | -89.1 |
| 2 | -20.7 |
| 3 | -8.9 |
| 4 | -99.1 |
| 5 | -21.0 |
| 6 | -71.9 |
| 7 | -23.2 |
| 8 | -42.7 |
| 9 | -26.1 |
| 10 | -19.8 |
| 11 | -111.6 |
| 12 | -63.4 |
| 13 | -16.9 |
| 14 | -58.4 |
| 15 | -31.1 |
| 16 | -64.4 |
| 17 | -131.7 |
| 18 | -33.4 |
| 19 | -116.5 |
| 20 | -24.6 |